(1)
Entry from the Alexandria database: a geometry-optimized LiPmErCo structure (PBE-GGA).

abc: 6.937 6.937 6.937
angles: 90.00 90.00 90.00
Space group F-43m (No. 216)
Unique sites:
Li1 0.000 0.000 0.000
Pm1 0.250 0.250 0.250
Er1 0.250 0.250 0.750
Co1 0.000 0.000 0.500

Calculated values
* density: 7.52 Mg/m³
* total magnetization: 0.00 μB/f.u.
* V: 334 Å³/cell
* energy relative to the elements: -0.2 eV/f.u.

=====

(2)
Entry from the Alexandria database: a geometry-optimized LiPrErCo structure (PBE-GGA).

abc: 6.996 6.996 6.996
angles: 90.00 90.00 90.00
Space group F-43m (No. 216)
Unique sites:
Li1 0.000 0.000 0.000
Pr1 0.250 0.250 0.750
Er1 0.250 0.250 0.250
Co1 0.000 0.000 0.500

Calculated values
* density: 7.26 Mg/m³
* total magnetization: 0.00 μB/f.u.
* V: 342 Å³/cell
* energy relative to the elements: 0.0 eV/f.u.

=====

(3)
Entry from the Alexandria database: a geometry-optimized LiErCoRu structure (PBE-GGA).

abc: 6.288 6.288 6.288
angles: 90.00 90.00 90.00
Space group F-43m (No. 216)
Unique sites:
Li1 0.000 0.000 0.000
Er1 0.250 0.250 0.750
Co1 0.000 0.000 0.500
Ru1 0.250 0.250 0.250

Calculated values
* density: 8.93 Mg/m³
* total magnetization: 2.34 μB/f.u.
* V: 249 Å³/cell
* energy relative to the elements: 0.2 eV/f.u.

=====

(4)
Entry from the Alexandria database: a geometry-optimized LiErCoSb structure (PBE-GGA).

abc: 6.443 6.443 6.443
angles: 90.00 90.00 90.00
Space group F-43m (No. 216)
Unique sites:
Li1 0.000 0.000 0.000
Er1 0.250 0.250 0.250
Co1 0.000 0.000 0.500
Sb1 0.250 0.250 0.750

Calculated values
* density: 8.81 Mg/m³
* total magnetization: 0.00 μB/f.u.
* V: 267 Å³/cell
* DFT total energy: -4.951 eV per atom

=====

(5)
Entry from the Alexandria database: a geometry-optimized LiErScCo structure (PBE-GGA).

abc: 6.621 6.621 6.621
angles: 90.00 90.00 90.00
Space group F-43m (No. 216)
Unique sites:
Li1 0.000 0.000 0.000
Er1 0.250 0.250 0.250
Sc1 0.250 0.250 0.750
Co1 0.000 0.000 0.500

Calculated values
* density: 6.36 Mg/m³
* total magnetization: 0.00 μB/f.u.
* V: 290 Å³/cell
* energy relative to the elements: -0.5 eV/f.u.

=====

(6)
Entry from the Alexandria database: a geometry-optimized LiSmErCo structure (PBE-GGA).

abc: 6.917 6.917 6.917
angles: 90.00 90.00 90.00
Space group F-43m (No. 216)
Unique sites:
Li1 0.000 0.000 0.000
Sm1 0.250 0.250 0.250
Er1 0.250 0.250 0.750
Co1 0.000 0.000 0.500

Calculated values
* density: 7.70 Mg/m³
* total magnetization: 0.00 μB/f.u.
* V: 331 Å³/cell
* energy relative to the elements: -0.2 eV/f.u.